5
Lattice="4.569 0.000 0.000 0.000 4.569 0.000 0.000 0.000 4.338" Properties=species:S:1:pos:R:3 comment="CaCdN2O (PBE-GGA, optimized geometry)" mass_density_g_cm3=3.60 magnetic_moment_mub_per_cell=4.06 space_group="No. 123" formation_energy_uncorrected_mev_per_atom=1002 dos_ef_per_ev_atom=0.43 final_energy_ev_per_cell=-19.5 pbc="T T T"
Ca 0.000 0.000 0.000
Cd 2.285 2.285 2.169
N 0.000 2.285 0.000
N 2.285 0.000 0.000
O 0.000 0.000 2.169

5
Lattice="4.381 0.000 0.000 0.000 4.381 0.000 0.000 0.000 4.524" Properties=species:S:1:pos:R:3 comment="CaCdNO2 (PBE-GGA, optimized geometry)" mass_density_g_cm3=3.79 magnetic_moment_mub_per_cell=3.06 space_group="No. 123" formation_energy_uncorrected_mev_per_atom=187 dos_ef_per_ev_atom=0.60 final_energy_ev_per_cell=-20.2 pbc="T T T"
Ca 0.000 0.000 0.000
Cd 2.191 2.191 2.262
N 0.000 0.000 2.262
O 0.000 2.191 0.000
O 2.191 0.000 0.000

5
Lattice="4.270 0.000 0.000 0.000 4.270 0.000 0.000 0.000 4.127" Properties=species:S:1:pos:R:3 comment="CaCdNO2 (PBE-GGA, optimized geometry)" mass_density_g_cm3=4.38 magnetic_moment_mub_per_cell=1.87 space_group="No. 123" formation_energy_uncorrected_mev_per_atom=-217 dos_ef_per_ev_atom=0.31 final_energy_ev_per_cell=-22.2 pbc="T T T"
Ca 0.000 0.000 0.000
Cd 2.135 2.135 2.063
N 2.135 2.135 0.000
O 0.000 2.135 2.063
O 2.135 0.000 2.063

15
Lattice="6.014 -3.512 0.000 6.014 3.512 0.000 -3.984 0.000 5.721" Properties=species:S:1:pos:R:3 comment="Ca3Pa3CdN8 (PBE-GGA, optimized geometry)" mass_density_g_cm3=7.13 magnetic_moment_mub_per_cell=0.66 space_group="No. 12" formation_energy_uncorrected_mev_per_atom=-1046 dos_ef_per_ev_atom=0.38 final_energy_ev_per_cell=-117.7 pbc="T T T"
Ca 0.000 0.000 0.000
Ca 1.015 1.756 2.861
Ca 1.015 -1.756 2.861
Pa 3.007 1.756 0.000
Pa 3.007 -1.756 0.000
Pa 4.022 0.000 2.861
Cd -1.992 0.000 2.861
N -0.177 0.000 4.470
N 4.764 1.654 1.454
N 2.145 0.000 1.383
N 3.279 1.654 4.267
N 4.764 -1.654 1.454
N 5.899 0.000 4.338
N 3.279 -1.654 4.267
N 8.220 0.000 1.251